# MgAlIr2

An optimized crystal structure of MgAlIr2 (PBE-GGA, OQMD via LeMat-Bulk).

## Properties
ρ, g/cm³: 11.3
Uncorrected energy, eV per atom: -5.821
Crystal system: hexagonal

a b c (Å): 4.4462 4.4462 7.5037
angles (deg): 90.00 90.00 120.00
Space group P6_3/mmc (No. 194)
Symmetry-distinct sites (fractional):
Mg  0.0000  0.0000  0.2500 [2 per cell]
Al  0.3333  0.6667  0.2500 [2 per cell]
Ir  0.3333  0.6667  0.5750 [4 per cell]

=====

# MgAlIr2

An optimized crystal structure of MgAlIr2 (PBE-GGA, OQMD via LeMat-Bulk).

## Properties
ρ, g/cm³: 12.7
Uncorrected energy, eV per atom: -6.449
Crystal system: cubic

a b c (Å): 6.114 6.114 6.114
angles (deg): 90.00 90.00 90.00
Space group Fm-3m (No. 225)
Symmetry-distinct sites (fractional):
Mg  0.000  0.000  0.000 [4 per cell]
Al  0.000  0.000  0.500 [4 per cell]
Ir  0.250  0.250  0.250 [8 per cell]

=====

# Mg2AlIr

An optimized crystal structure of Mg2AlIr (PBE-GGA, OQMD via LeMat-Bulk).

## Properties
ρ, g/cm³: 7.0
Uncorrected energy, eV per atom: -4.323
Crystal system: cubic

a b c (Å): 6.344 6.344 6.344
angles (deg): 90.00 90.00 90.00
Space group F-43m (No. 216)
Symmetry-distinct sites (fractional):
Mg  0.000  0.000  0.000 [4 per cell]
Mg  0.250  0.250  0.250 [4 per cell]
Al  0.000  0.000  0.500 [4 per cell]
Ir  0.250  0.250  0.750 [4 per cell]

=====

# MgAlIr2

An optimized crystal structure of MgAlIr2 (PBE-GGA, OQMD via LeMat-Bulk).

## Properties
ρ, g/cm³: 11.1
Uncorrected energy, eV per atom: -6.046
Crystal system: hexagonal

a b c (Å): 4.4204 4.4204 7.7012
angles (deg): 90.00 90.00 120.00
Space group P6_3/mmc (No. 194)
Symmetry-distinct sites (fractional):
Mg  0.0000  0.0000  0.0000 [2 per cell]
Al  0.3333  0.6667  0.2500 [2 per cell]
Ir  0.3333  0.6667  0.5884 [4 per cell]

=====

# MgAlIr2

An optimized crystal structure of MgAlIr2 (PBE-GGA, OQMD via LeMat-Bulk).

## Properties
ρ, g/cm³: 11.2
Uncorrected energy, eV per atom: -6.179
Crystal system: hexagonal

a b c (Å): 4.2818 4.2818 8.1408
angles (deg): 90.00 90.00 120.00
Space group P6_3/mmc (No. 194)
Symmetry-distinct sites (fractional):
Mg  0.3333  0.6667  0.2500 [2 per cell]
Al  0.0000  0.0000  0.0000 [2 per cell]
Ir  0.3333  0.6667  0.5897 [4 per cell]

=====

# MgAlNiIr

An optimized crystal structure of MgAlNiIr (PBE-GGA, OQMD via LeMat-Bulk).

## Properties
ρ, g/cm³: 8.9
Uncorrected energy, eV per atom: -5.140
Crystal system: cubic

a b c (Å): 6.082 6.082 6.082
angles (deg): 90.00 90.00 90.00
Space group F-43m (No. 216)
Symmetry-distinct sites (fractional):
Mg  0.000  0.000  0.000 [4 per cell]
Al  0.250  0.250  0.250 [4 per cell]
Ni  0.000  0.000  0.500 [4 per cell]
Ir  0.250  0.250  0.750 [4 per cell]